[1]
A geometry-optimized ScBIr3 structure, computed with PBE.

Values from the calculation:
E_form = -0.5638 eV per atom
ΔE to the lowest computed polymorph = 0.081 eV/atom
total DFT energy (no corrections) = -84.8 eV/cell

The structure in CIF format:
```
data_ScBIr3
_chemical_formula_sum 'Sc2 B2 Ir6'
_cell_length_a 7.010
_cell_length_b 7.010
_cell_length_c 2.897
_cell_angle_alpha 90.00
_cell_angle_beta 90.00
_cell_angle_gamma 101.89
_symmetry_space_group_name_H-M 'P 1'
_symmetry_Int_Tables_number 1
loop_
_symmetry_equiv_pos_as_xyz
'x,y,z'
loop_
_atom_site_label
_atom_site_fract_x
_atom_site_fract_y
_atom_site_fract_z
Sc1 0.230 0.770 0.000
Sc2 0.770 0.230 0.000
B1 0.193 0.193 0.000
B2 0.807 0.807 0.000
Ir1 0.000 0.000 0.500
Ir2 0.152 0.410 0.500
Ir3 0.410 0.152 0.500
Ir4 0.500 0.500 0.000
Ir5 0.590 0.848 0.500
Ir6 0.848 0.590 0.500
```

---

[2]
A geometry-optimized ScB4Ir4 structure, computed with PBE.

Values from the calculation:
E_form = -0.4510 eV per atom
total DFT energy (no corrections) = -145.1 eV/cell

The structure in CIF format:
```
data_ScB4Ir4
_chemical_formula_sum 'Sc2 B8 Ir8'
_cell_length_a 5.374
_cell_length_b 5.374
_cell_length_c 7.358
_cell_angle_alpha 90.00
_cell_angle_beta 90.00
_cell_angle_gamma 90.00
_symmetry_space_group_name_H-M 'P 1'
_symmetry_Int_Tables_number 1
loop_
_symmetry_equiv_pos_as_xyz
'x,y,z'
loop_
_atom_site_label
_atom_site_fract_x
_atom_site_fract_y
_atom_site_fract_z
Sc1 0.250 0.750 0.250
Sc2 0.750 0.250 0.750
B1 0.077 0.250 0.101
B2 0.250 0.077 0.601
B3 0.250 0.423 0.601
B4 0.423 0.250 0.101
B5 0.577 0.750 0.899
B6 0.750 0.577 0.399
B7 0.750 0.923 0.399
B8 0.923 0.750 0.899
Ir1 0.001 0.750 0.602
Ir2 0.250 0.501 0.898
Ir3 0.250 0.999 0.898
Ir4 0.499 0.750 0.602
Ir5 0.501 0.250 0.398
Ir6 0.750 0.001 0.102
Ir7 0.750 0.499 0.102
Ir8 0.999 0.250 0.398
```

---

[3]
A geometry-optimized ScB2Ir structure, computed with PBE.

Values from the calculation:
E_form = -0.3103 eV per atom
ΔE to the lowest computed polymorph = 0.000 eV/atom
total DFT energy (no corrections) = -119.2 eV/cell

The structure in CIF format:
```
data_ScB2Ir
_chemical_formula_sum 'Sc4 B8 Ir4'
_cell_length_a 3.940
_cell_length_b 3.940
_cell_length_c 14.391
_cell_angle_alpha 90.00
_cell_angle_beta 90.00
_cell_angle_gamma 90.00
_symmetry_space_group_name_H-M 'P 1'
_symmetry_Int_Tables_number 1
loop_
_symmetry_equiv_pos_as_xyz
'x,y,z'
loop_
_atom_site_label
_atom_site_fract_x
_atom_site_fract_y
_atom_site_fract_z
Sc1 0.000 0.250 0.375
Sc2 0.000 0.750 0.625
Sc3 0.500 0.250 0.125
Sc4 0.500 0.750 0.875
B1 0.000 0.000 0.000
B2 0.000 0.500 0.000
B3 0.250 0.250 0.750
B4 0.250 0.750 0.250
B5 0.500 0.000 0.500
B6 0.500 0.500 0.500
B7 0.750 0.250 0.750
B8 0.750 0.750 0.250
Ir1 0.000 0.250 0.875
Ir2 0.000 0.750 0.125
Ir3 0.500 0.250 0.625
Ir4 0.500 0.750 0.375
```

---

[4]
A geometry-optimized ScB4Ir12 structure, computed with PBE.

Values from the calculation:
E_form = 0.0389 eV per atom
total DFT energy (no corrections) = -138.7 eV/cell

The structure in CIF format:
```
data_ScB4Ir12
_chemical_formula_sum 'Sc1 B4 Ir12'
_cell_length_a 6.736
_cell_length_b 6.736
_cell_length_c 6.736
_cell_angle_alpha 109.47
_cell_angle_beta 109.47
_cell_angle_gamma 109.47
_symmetry_space_group_name_H-M 'P 1'
_symmetry_Int_Tables_number 1
loop_
_symmetry_equiv_pos_as_xyz
'x,y,z'
loop_
_atom_site_label
_atom_site_fract_x
_atom_site_fract_y
_atom_site_fract_z
Sc1 0.000 0.000 0.000
B1 0.000 0.000 0.500
B2 0.000 0.500 0.000
B3 0.500 0.000 0.000
B4 0.500 0.500 0.500
Ir1 0.148 0.831 0.317
Ir2 0.169 0.317 0.485
Ir3 0.169 0.683 0.852
Ir4 0.317 0.148 0.831
Ir5 0.317 0.485 0.169
Ir6 0.485 0.169 0.317
Ir7 0.515 0.831 0.683
Ir8 0.683 0.515 0.831
Ir9 0.683 0.852 0.169
Ir10 0.831 0.317 0.148
Ir11 0.831 0.683 0.515
Ir12 0.852 0.169 0.683
```

---

[5]
A geometry-optimized ScBIr2 structure, computed with PBE.

Values from the calculation:
E_form = -0.5575 eV per atom
total DFT energy (no corrections) = -131.8 eV/cell

The structure in CIF format:
```
data_ScBIr2
_chemical_formula_sum 'Sc4 B4 Ir8'
_cell_length_a 6.770
_cell_length_b 6.770
_cell_length_c 5.121
_cell_angle_alpha 90.00
_cell_angle_beta 90.00
_cell_angle_gamma 90.00
_symmetry_space_group_name_H-M 'P 1'
_symmetry_Int_Tables_number 1
loop_
_symmetry_equiv_pos_as_xyz
'x,y,z'
loop_
_atom_site_label
_atom_site_fract_x
_atom_site_fract_y
_atom_site_fract_z
Sc1 0.000 0.000 0.000
Sc2 0.000 0.500 0.250
Sc3 0.500 0.000 0.750
Sc4 0.500 0.500 0.500
B1 0.000 0.000 0.500
B2 0.000 0.500 0.750
B3 0.500 0.000 0.250
B4 0.500 0.500 0.000
Ir1 0.149 0.250 0.625
Ir2 0.250 0.649 0.875
Ir3 0.250 0.851 0.375
Ir4 0.351 0.250 0.125
Ir5 0.649 0.750 0.125
Ir6 0.750 0.149 0.375
Ir7 0.750 0.351 0.875
Ir8 0.851 0.750 0.625
```

---

[6]
A geometry-optimized Sc2B10Ir structure, computed with PBE.

Values from the calculation:
E_form = -0.3564 eV per atom
total DFT energy (no corrections) = -185.9 eV/cell

The structure in CIF format:
```
data_Sc2B10Ir
_chemical_formula_sum 'Sc4 B20 Ir2'
_cell_length_a 5.657
_cell_length_b 11.149
_cell_length_c 4.119
_cell_angle_alpha 90.00
_cell_angle_beta 90.00
_cell_angle_gamma 90.00
_symmetry_space_group_name_H-M 'P 1'
_symmetry_Int_Tables_number 1
loop_
_symmetry_equiv_pos_as_xyz
'x,y,z'
loop_
_atom_site_label
_atom_site_fract_x
_atom_site_fract_y
_atom_site_fract_z
Sc1 0.189 0.133 0.000
Sc2 0.311 0.633 0.000
Sc3 0.689 0.367 0.000
Sc4 0.811 0.867 0.000
B1 0.060 0.305 0.500
B2 0.119 0.959 0.500
B3 0.134 0.802 0.500
B4 0.223 0.380 0.198
B5 0.223 0.380 0.802
B6 0.277 0.880 0.198
B7 0.277 0.880 0.802
B8 0.366 0.302 0.500
B9 0.381 0.459 0.500
B10 0.440 0.805 0.500
B11 0.560 0.195 0.500
B12 0.619 0.541 0.500
B13 0.634 0.698 0.500
B14 0.723 0.120 0.198
B15 0.723 0.120 0.802
B16 0.777 0.620 0.198
B17 0.777 0.620 0.802
B18 0.866 0.198 0.500
B19 0.881 0.041 0.500
B20 0.940 0.695 0.500
Ir1 0.000 0.500 0.500
Ir2 0.500 0.000 0.500
```

---

Please write out number 2 again, unchanged.
A geometry-optimized ScB4Ir4 structure, computed with PBE.

Values from the calculation:
E_form = -0.4510 eV per atom
total DFT energy (no corrections) = -145.1 eV/cell

The structure in CIF format:
```
data_ScB4Ir4
_chemical_formula_sum 'Sc2 B8 Ir8'
_cell_length_a 5.374
_cell_length_b 5.374
_cell_length_c 7.358
_cell_angle_alpha 90.00
_cell_angle_beta 90.00
_cell_angle_gamma 90.00
_symmetry_space_group_name_H-M 'P 1'
_symmetry_Int_Tables_number 1
loop_
_symmetry_equiv_pos_as_xyz
'x,y,z'
loop_
_atom_site_label
_atom_site_fract_x
_atom_site_fract_y
_atom_site_fract_z
Sc1 0.250 0.750 0.250
Sc2 0.750 0.250 0.750
B1 0.077 0.250 0.101
B2 0.250 0.077 0.601
B3 0.250 0.423 0.601
B4 0.423 0.250 0.101
B5 0.577 0.750 0.899
B6 0.750 0.577 0.399
B7 0.750 0.923 0.399
B8 0.923 0.750 0.899
Ir1 0.001 0.750 0.602
Ir2 0.250 0.501 0.898
Ir3 0.250 0.999 0.898
Ir4 0.499 0.750 0.602
Ir5 0.501 0.250 0.398
Ir6 0.750 0.001 0.102
Ir7 0.750 0.499 0.102
Ir8 0.999 0.250 0.398
```

---

Copy entry 2 word for word.
A geometry-optimized ScB4Ir4 structure, computed with PBE.

Values from the calculation:
E_form = -0.4510 eV per atom
total DFT energy (no corrections) = -145.1 eV/cell

The structure in CIF format:
```
data_ScB4Ir4
_chemical_formula_sum 'Sc2 B8 Ir8'
_cell_length_a 5.374
_cell_length_b 5.374
_cell_length_c 7.358
_cell_angle_alpha 90.00
_cell_angle_beta 90.00
_cell_angle_gamma 90.00
_symmetry_space_group_name_H-M 'P 1'
_symmetry_Int_Tables_number 1
loop_
_symmetry_equiv_pos_as_xyz
'x,y,z'
loop_
_atom_site_label
_atom_site_fract_x
_atom_site_fract_y
_atom_site_fract_z
Sc1 0.250 0.750 0.250
Sc2 0.750 0.250 0.750
B1 0.077 0.250 0.101
B2 0.250 0.077 0.601
B3 0.250 0.423 0.601
B4 0.423 0.250 0.101
B5 0.577 0.750 0.899
B6 0.750 0.577 0.399
B7 0.750 0.923 0.399
B8 0.923 0.750 0.899
Ir1 0.001 0.750 0.602
Ir2 0.250 0.501 0.898
Ir3 0.250 0.999 0.898
Ir4 0.499 0.750 0.602
Ir5 0.501 0.250 0.398
Ir6 0.750 0.001 0.102
Ir7 0.750 0.499 0.102
Ir8 0.999 0.250 0.398
```

---

Q: What is the E_form in the second record?
A: -0.4510 eV per atom

---

What did the second record say?
A geometry-optimized ScB4Ir4 structure, computed with PBE.

Values from the calculation:
E_form = -0.4510 eV per atom
total DFT energy (no corrections) = -145.1 eV/cell

The structure in CIF format:
```
data_ScB4Ir4
_chemical_formula_sum 'Sc2 B8 Ir8'
_cell_length_a 5.374
_cell_length_b 5.374
_cell_length_c 7.358
_cell_angle_alpha 90.00
_cell_angle_beta 90.00
_cell_angle_gamma 90.00
_symmetry_space_group_name_H-M 'P 1'
_symmetry_Int_Tables_number 1
loop_
_symmetry_equiv_pos_as_xyz
'x,y,z'
loop_
_atom_site_label
_atom_site_fract_x
_atom_site_fract_y
_atom_site_fract_z
Sc1 0.250 0.750 0.250
Sc2 0.750 0.250 0.750
B1 0.077 0.250 0.101
B2 0.250 0.077 0.601
B3 0.250 0.423 0.601
B4 0.423 0.250 0.101
B5 0.577 0.750 0.899
B6 0.750 0.577 0.399
B7 0.750 0.923 0.399
B8 0.923 0.750 0.899
Ir1 0.001 0.750 0.602
Ir2 0.250 0.501 0.898
Ir3 0.250 0.999 0.898
Ir4 0.499 0.750 0.602
Ir5 0.501 0.250 0.398
Ir6 0.750 0.001 0.102
Ir7 0.750 0.499 0.102
Ir8 0.999 0.250 0.398
```